DFT (GGA-PBE) results for a geometry-optimized Ca5Pr3S8 structure.

Calculated values
The calculation puts the formation energy without anion corrections at -2072 meV/atom. For the size of the total moment, the calculation gives 0.00 μB/f.u. Its volume is 23.69 Å³ per atom.

a b c (Å): 8.1476 8.1476 8.1476
angles (deg): 59.61 59.61 59.61
Element x y z (fractional)
Ca (0.0000, 0.0000, 0.0000)
Ca (0.0000, 0.5000, 0.5000)
Ca (0.5000, 0.0000, 0.5000)
Ca (0.5000, 0.5000, 0.0000)
Ca (0.5000, 0.5000, 0.5000)
Pr (0.0000, 0.0000, 0.5000)
Pr (0.0000, 0.5000, 0.0000)
Pr (0.5000, 0.0000, 0.0000)
S (0.2500, 0.2500, 0.7451)
S (0.2500, 0.7451, 0.2500)
S (0.2531, 0.2531, 0.2531)
S (0.2549, 0.7500, 0.7500)
S (0.7451, 0.2500, 0.2500)
S (0.7469, 0.7469, 0.7469)
S (0.7500, 0.2549, 0.7500)
S (0.7500, 0.7500, 0.2549)